(1)
This record from the Alexandria database describes a relaxed structure of IrAu2. The functional is PBE.

- Magnetization: 0.54 μB per formula unit
- E: -4.84 eV/atom

Cell: 2.8597 2.8597 7.1002 Å, 90.00 90.00 120.00°
Space group P-3m1 (No. 164)
One atom of each set of equivalent atoms:
Ir 0.0000 0.0000 0.0000
Au 0.3333 0.6667 0.6724

=====

(2)
This record from the Alexandria database describes a relaxed structure of IrAu2. The functional is PBE.

- Magnetization: 0.00 μB per formula unit
- E: -4.86 eV/atom

Cell: 2.828 15.176 4.693 Å, 90.00 90.00 90.00°
Space group Cmcm (No. 63)
One atom of each set of equivalent atoms:
Ir 0.000 0.228 0.250
Au 0.000 0.113 0.750
Au 0.000 0.442 0.750

=====

(3)
This record from the Alexandria database describes a relaxed structure of IrAu2. The functional is PBE.

- Magnetization: 0.00 μB per formula unit
- E: -4.71 eV/atom

Cell: 6.565 6.565 5.055 Å, 90.00 90.00 90.00°
Space group I4/mcm (No. 140)
One atom of each set of equivalent atoms:
Ir 0.000 0.000 0.250
Au 0.158 0.342 0.000

=====

What is the E in the first record?
-4.84 eV/atom